This record from Alexandria describes Ag7Pb after structural relaxation. The functional is PBEsol.

Lattice parameters (Å, degrees): 5.861 5.861 5.861 60.00 60.00 60.00
Sites, in units of the cell vectors:
Pb 0.000 0.000 0.000
Ag 0.000 0.000 0.500
Ag 0.000 0.500 0.000
Ag 0.500 0.000 0.000
Ag 0.500 0.500 0.000
Ag 0.500 0.000 0.500
Ag 0.000 0.500 0.500
Ag 0.500 0.500 0.500

Values from the calculation:
Symmetry: No. 225
Fermi-level density of states (states/eV per cell): 1.45
Formation energy (eV per atom): 0.06
Final energy (eV for the cell shown): -26.70